# PrNd6Dy3

A geometry-optimized PrNd6Dy3 structure (PBE-GGA, the Alexandria database).

POSCAR file:
```
PrNd6Dy3
1.0
5.5341 -9.6830 0.0000
5.5341 9.6830 0.0000
0.0000 0.0000 6.3986
Pr Nd Dy
2 12 6
Direct
0.1924 0.8076 0.5000 Pr
0.8076 0.1924 0.0000 Pr
0.0356 0.9644 0.2614 Nd
0.0567 0.4739 0.7670 Nd
0.2816 0.7184 0.0415 Nd
0.2914 0.3715 0.9435 Nd
0.3715 0.2914 0.4435 Nd
0.4739 0.0567 0.2670 Nd
0.5261 0.9433 0.7670 Nd
0.6285 0.7086 0.9435 Nd
0.7086 0.6285 0.4435 Nd
0.7184 0.2816 0.5415 Nd
0.9433 0.5261 0.2670 Nd
0.9644 0.0356 0.7614 Nd
0.0584 0.2906 0.3562 Dy
0.2906 0.0584 0.8562 Dy
0.3835 0.6165 0.4833 Dy
0.6165 0.3835 0.9833 Dy
0.7094 0.9416 0.3562 Dy
0.9416 0.7094 0.8562 Dy
```

Properties
Magnetic moment, μB per atom: 0.000
DOS(E_F), states/eV/atom: 1.4250
Space-group type: No. 36
ΔE_f, eV/atom: 0.140
Energy relative to the lowest polymorph listed for this composition, eV/atom: 0.016

=====

# Pr9NdDy2

A geometry-optimized Pr9NdDy2 structure (PBE-GGA, the Alexandria database).

POSCAR file:
```
Pr9NdDy2
1.0
5.2056 0.0000 0.0000
0.0000 5.2056 0.0000
0.0000 0.0000 15.6224
Pr Nd Dy
9 1 2
Direct
0.0000 0.0000 0.0000 Pr
0.0000 0.0000 0.3349 Pr
0.0000 0.0000 0.6651 Pr
0.0000 0.5000 0.1686 Pr
0.0000 0.5000 0.5000 Pr
0.0000 0.5000 0.8314 Pr
0.5000 0.0000 0.1686 Pr
0.5000 0.0000 0.5000 Pr
0.5000 0.0000 0.8314 Pr
0.5000 0.5000 0.0000 Nd
0.5000 0.5000 0.3344 Dy
0.5000 0.5000 0.6656 Dy
```

Properties
Magnetic moment, μB per atom: 0.000
DOS(E_F), states/eV/atom: 1.7333
Space-group type: No. 123
ΔE_f, eV/atom: 0.014

=====

# Pr3Nd5Dy2

A geometry-optimized Pr3Nd5Dy2 structure (PBE-GGA, the Alexandria database).

POSCAR file:
```
Pr3Nd5Dy2
1.0
5.8937 -2.7925 0.0000
5.8937 2.7925 0.0000
-1.6682 0.0000 10.8227
Pr Nd Dy
3 5 2
Direct
0.0000 0.0000 0.0000 Pr
0.2636 0.2636 0.3904 Pr
0.7364 0.7364 0.6096 Pr
0.0000 0.0000 0.5000 Nd
0.1422 0.1422 0.7631 Nd
0.3234 0.3234 0.0513 Nd
0.6766 0.6766 0.9487 Nd
0.8578 0.8578 0.2369 Nd
0.4377 0.4377 0.7253 Dy
0.5623 0.5623 0.2747 Dy
```

Properties
Magnetic moment, μB per atom: 0.000
DOS(E_F), states/eV/atom: 1.4722
Space-group type: No. 12
ΔE_f, eV/atom: 0.161
Energy relative to the lowest polymorph listed for this composition, eV/atom: 0.000

=====

# Pr2NdDy

A geometry-optimized Pr2NdDy structure (PBE-GGA, the Alexandria database).

POSCAR file:
```
Pr2NdDy
1.0
0.0000 4.1165 4.1165
4.1165 0.0000 4.1165
4.1165 4.1165 0.0000
Pr Nd Dy
2 1 1
Direct
0.2500 0.2500 0.2500 Pr
0.7500 0.7500 0.7500 Pr
0.0000 0.0000 0.0000 Nd
0.5000 0.5000 0.5000 Dy
```

Properties
Magnetic moment, μB per atom: 0.000
DOS(E_F), states/eV/atom: 2.3701
Space-group type: No. 225
ΔE_f, eV/atom: 0.126
Energy relative to the lowest polymorph listed for this composition, eV/atom: 0.111

=====

# PrNd2Dy4

A geometry-optimized PrNd2Dy4 structure (PBE-GGA, the Alexandria database).

POSCAR file:
```
PrNd2Dy4
1.0
5.5252 -5.5256 0.0000
5.5252 5.5256 0.0000
-0.0323 0.0000 8.1590
Pr Nd Dy
2 4 8
Direct
0.0000 0.0000 0.0000 Pr
0.0000 0.0000 0.5000 Pr
0.0000 0.5000 0.0000 Nd
0.5000 0.0000 0.0000 Nd
0.5000 0.5000 0.0000 Nd
0.5000 0.5000 0.5000 Nd
0.2493 0.7480 0.7193 Dy
0.2508 0.2508 0.2806 Dy
0.2506 0.2506 0.7193 Dy
0.2520 0.7507 0.2807 Dy
0.7480 0.2493 0.7193 Dy
0.7494 0.7494 0.2807 Dy
0.7492 0.7492 0.7194 Dy
0.7507 0.2520 0.2807 Dy
```

Properties
Magnetic moment, μB per atom: 0.079
DOS(E_F), states/eV/atom: 1.7640
Space-group type: No. 12
ΔE_f, eV/atom: 0.317
Energy relative to the lowest polymorph listed for this composition, eV/atom: 0.301

=====

# PrNd6Dy5

A geometry-optimized PrNd6Dy5 structure (PBE-GGA, the Alexandria database).

POSCAR file:
```
PrNd6Dy5
1.0
-2.5711 5.1052 7.6980
2.5711 -5.1052 7.6980
2.5711 5.1052 -7.6980
Pr Nd Dy
1 6 5
Direct
0.0000 0.0000 0.0000 Pr
0.0844 0.8329 0.2514 Nd
0.2525 0.5000 0.7525 Nd
0.4185 0.1671 0.2514 Nd
0.5815 0.8329 0.7486 Nd
0.7475 0.5000 0.2475 Nd
0.9156 0.1671 0.7486 Nd
0.1676 0.6676 0.5000 Dy
0.3331 0.3331 0.0000 Dy
0.5000 0.0000 0.5000 Dy
0.6669 0.6669 0.0000 Dy
0.8324 0.3324 0.5000 Dy
```

Properties
Magnetic moment, μB per atom: 0.000
DOS(E_F), states/eV/atom: 1.3689
Space-group type: No. 71
ΔE_f, eV/atom: 0.015
Energy relative to the lowest polymorph listed for this composition, eV/atom: 0.002